(1)
Ac2TbCdO6 after structural relaxation. Source: Alexandria via LeMat-Bulk, functional PBE.

Values from the calculation:
Total magnetization ... 0.10 μB/atom

Lattice parameters (Å, degrees): 5.9940 6.2160 10.4906 90.00 123.67 90.00
Fractional coordinates of all 20 atoms:
1 Ac 0.2278 0.0551 0.2465
2 Ac 0.2278 0.4449 0.7465
3 Ac 0.7722 0.5551 0.2535
4 Ac 0.7722 0.9449 0.7535
5 Tb 0.5000 0.0000 0.0000
6 Tb 0.5000 0.5000 0.5000
7 Cd 0.0000 0.0000 0.5000
8 Cd 0.0000 0.5000 0.0000
9 O 0.1378 0.1972 0.9388
10 O 0.1378 0.3028 0.4388
11 O 0.2309 0.7056 0.9298
12 O 0.2309 0.7944 0.4298
13 O 0.3774 0.0560 0.7549
14 O 0.3774 0.4440 0.2549
15 O 0.6226 0.5560 0.7451
16 O 0.6226 0.9440 0.2451
17 O 0.7691 0.2056 0.5702
18 O 0.7691 0.2944 0.0702
19 O 0.8622 0.6972 0.5612
20 O 0.8622 0.8028 0.0612


(2)
Ac2CdTcO6 after structural relaxation. Source: Alexandria via LeMat-Bulk, functional PBE.

Values from the calculation:
Total magnetization ... 0.30 μB/atom

Lattice parameters (Å, degrees): 5.8479 5.8726 5.9864 119.13 90.08 119.66
Fractional coordinates of all 10 atoms:
1 Ac 0.2482 0.4945 0.2315
2 Ac 0.7518 0.5055 0.7685
3 Cd 0.0000 0.0000 0.5000
4 Tc 0.5000 0.0000 0.0000
5 O 0.1947 0.8724 0.1670
6 O 0.2727 0.5415 0.6664
7 O 0.3246 0.1282 0.8294
8 O 0.6754 0.8718 0.1706
9 O 0.7273 0.4585 0.3336
10 O 0.8053 0.1276 0.8330


(3)
AcCdTcO6 after structural relaxation. Source: Alexandria via LeMat-Bulk, functional PBE.

Values from the calculation:
Total magnetization ... 0.00 μB/atom

Lattice parameters (Å, degrees): 5.5964 5.5964 5.1500 90.00 90.00 120.00
Fractional coordinates of all 9 atoms:
1 Ac 0.0000 0.0000 0.0000
2 Cd 0.3333 0.6667 0.5000
3 Tc 0.6667 0.3333 0.5000
4 O 0.3913 0.0508 0.7138
5 O 0.3913 0.3406 0.2862
6 O 0.6594 0.0508 0.2862
7 O 0.6594 0.6087 0.7138
8 O 0.9492 0.3406 0.7138
9 O 0.9492 0.6087 0.2862


(4)
Ac2CdTcO8 after structural relaxation. Source: Alexandria via LeMat-Bulk, functional PBE.

Values from the calculation:
Total magnetization ... 0.07 μB/atom

Lattice parameters (Å, degrees): 4.3877 5.5341 7.4131 84.97 88.32 84.78
Fractional coordinates of all 12 atoms:
1 Ac 0.1868 0.0067 0.2479
2 Ac 0.8132 0.9933 0.7521
3 Cd 0.5000 0.5000 0.0000
4 Tc 0.5000 0.5000 0.5000
5 O 0.2136 0.7580 0.5559
6 O 0.2727 0.8452 0.9426
7 O 0.2768 0.4654 0.2775
8 O 0.2882 0.2654 0.6361
9 O 0.7118 0.7346 0.3639
10 O 0.7232 0.5346 0.7225
11 O 0.7273 0.1548 0.0574
12 O 0.7864 0.2420 0.4441


(5)
AcCdTc2O8 after structural relaxation. Source: Alexandria via LeMat-Bulk, functional PBE.

Values from the calculation:
Total magnetization ... 0.08 μB/atom

Lattice parameters (Å, degrees): 6.5377 6.5377 7.8402 90.00 90.00 120.00
Fractional coordinates of all 12 atoms:
1 Ac 0.0000 0.0000 0.0000
2 Cd 0.0000 0.0000 0.5000
3 Tc 0.3333 0.6667 0.2468
4 Tc 0.6667 0.3333 0.7532
5 O 0.1838 0.3703 0.1710
6 O 0.1865 0.8162 0.1710
7 O 0.3333 0.6667 0.4667
8 O 0.3703 0.1865 0.8290
9 O 0.6297 0.8135 0.1710
10 O 0.6667 0.3333 0.5333
11 O 0.8135 0.1838 0.8290
12 O 0.8162 0.6297 0.8290


(6)
AcCdTeO5 after structural relaxation. Source: Alexandria via LeMat-Bulk, functional PBE.

Values from the calculation:
Total magnetization ... 0.10 μB/atom

Lattice parameters (Å, degrees): 6.5790 6.5790 8.8765 110.05 110.05 92.66
Fractional coordinates of all 16 atoms:
1 Ac 0.0000 0.0000 0.0000
2 Ac 0.0000 0.0000 0.5000
3 Cd 0.3128 0.6872 0.7500
4 Cd 0.6872 0.3128 0.2500
5 Te 0.3519 0.6481 0.2500
6 Te 0.6481 0.3519 0.7500
7 O 0.0937 0.9063 0.7500
8 O 0.2681 0.7308 0.4525
9 O 0.2692 0.7319 0.0475
10 O 0.3214 0.3343 0.1611
11 O 0.3343 0.3214 0.6611
12 O 0.6657 0.6786 0.3389
13 O 0.6786 0.6657 0.8389
14 O 0.7308 0.2681 0.9525
15 O 0.7319 0.2692 0.5475
16 O 0.9063 0.0937 0.2500


What are the E_form (uncorrected) values for these records? In order: -2.6798; -2.3213; -1.7704; -1.9662; -1.6798; -1.6269 eV/atom.